# Nd2Sm2O5 | OQMD | PBE | relaxed
data_Nd2Sm2O5
_chemical_formula_sum 'Nd2 Sm2 O5'
_space_group_name_H-M_alt 'P 4/m m m'
_space_group_IT_number 123
_space_group_name_Hall '-P 4 2'
_cell_length_a 3.986
_cell_length_b 3.986
_cell_length_c 9.884
_cell_angle_alpha 90.00
_cell_angle_beta 90.00
_cell_angle_gamma 90.00
loop_
_atom_site_label
_atom_site_fract_x
_atom_site_fract_y
_atom_site_fract_z
Nd1 0.000 0.000 0.000
Nd2 0.000 0.000 0.500
Sm1 0.500 0.500 0.244
O1 0.000 0.500 0.146
O2 0.500 0.500 0.500
# mass density	7.1	g/cm³
# DFT total energy	-7.663	eV per atom
# M_tot	1.47	μB/f.u.